The following is a DFT calculation (PBE) of a relaxed structure of Sc3Ge4Ru2.

Cell and atoms, written as extended XYZ:
```
9
Lattice="-1.595 3.765 0.579 0.722 -2.651 4.503 7.339 3.226 -0.755" Properties=species:S:1:pos:R:3 pbc="T T T"
Sc 4.411 1.398 3.065
Sc 0.000 0.000 0.000
Sc 2.055 2.942 1.261
Ge -0.269 1.837 2.037
Ge 4.757 1.983 0.210
Ge 1.708 2.356 4.117
Ge 6.735 2.502 2.289
Ru 1.698 0.290 2.794
Ru 4.768 4.049 1.533
```

## Properties
VASP energy: -61.5 eV per formula unit
Crystal system: monoclinic
Size of the total moment: 0.000 μB per cell